No. 1
A relaxed CdPt2Rh crystal, computed with PBE.

calculated total energy: -5.18 eV per atom
density: 15.53 g/cm³
crystal system: tetragonal
calculated formation energy: -0.09 eV per atom

Unit cell a=4.890 b=4.890 c=4.890 alpha=131.24 beta=131.24 gamma=71.44
Atoms (fractional coordinates):
Cd 0.000 0.000 0.000
Pt 0.250 0.750 0.500
Pt 0.500 0.500 0.000
Rh 0.750 0.250 0.500

---

No. 2
A relaxed CdPtRh crystal, computed with PBE.

calculated total energy: -4.80 eV per atom
energy above the most stable polymorph in this dataset: 0.0558 eV per atom
density: 13.52 g/cm³
crystal system: triclinic
calculated formation energy: -0.03 eV per atom

Unit cell a=2.871 b=4.817 c=7.689 alpha=82.10 beta=88.64 gamma=73.10
Atoms (fractional coordinates):
Cd 0.171 0.215 0.100
Cd 0.829 0.785 0.900
Pt 0.365 0.760 0.579
Pt 0.635 0.240 0.421
Rh 0.093 0.281 0.726
Rh 0.907 0.719 0.274

---

No. 3
A relaxed Cd2PtRh crystal, computed with PBE.

calculated total energy: -3.87 eV per atom
density: 12.51 g/cm³
crystal system: cubic
calculated formation energy: -0.07 eV per atom

Unit cell a=4.613 b=4.613 c=4.613 alpha=60.00 beta=60.00 gamma=60.00
Atoms (fractional coordinates):
Cd 0.000 0.000 0.000
Cd 0.250 0.250 0.250
Pt 0.750 0.750 0.750
Rh 0.500 0.500 0.500

---

No. 4
A relaxed Cd2PtRh crystal, computed with PBE.

calculated total energy: -3.86 eV per atom
density: 12.25 g/cm³
crystal system: tetragonal
calculated formation energy: -0.05 eV per atom

Unit cell a=2.943 b=2.943 c=8.183 alpha=90.00 beta=90.00 gamma=90.00
Atoms (fractional coordinates):
Cd 0.000 0.000 0.000
Cd 0.500 0.500 0.302
Pt 0.000 0.000 0.544
Rh 0.500 0.500 0.765

---

No. 5
A relaxed Cd4PtRh crystal, computed with PBE.

calculated total energy: -2.94 eV per atom
energy above the most stable polymorph in this dataset: 0.0501 eV per atom
density: 9.41 g/cm³
crystal system: trigonal
calculated formation energy: -0.09 eV per atom

Unit cell a=7.837 b=7.837 c=7.837 alpha=33.70 beta=33.70 gamma=33.70
Atoms (fractional coordinates):
Cd 0.124 0.124 0.124
Cd 0.373 0.373 0.373
Cd 0.627 0.627 0.627
Cd 0.876 0.876 0.876
Pt 0.500 0.500 0.500
Rh 0.000 0.000 0.000

---

No. 6
A relaxed CdPt2Rh crystal, computed with PBE.

calculated total energy: -5.21 eV per atom
density: 15.52 g/cm³
crystal system: tetragonal
calculated formation energy: -0.13 eV per atom

Unit cell a=2.838 b=2.838 c=8.047 alpha=90.00 beta=90.00 gamma=90.00
Atoms (fractional coordinates):
Cd 0.000 0.000 0.000
Pt 0.500 0.500 0.264
Pt 0.500 0.500 0.736
Rh 0.000 0.000 0.500

---

No. 7
A relaxed CdPt2Rh crystal, computed with PBE.

calculated total energy: -5.19 eV per atom
density: 15.52 g/cm³
crystal system: orthorhombic
calculated formation energy: -0.10 eV per atom

Unit cell a=2.824 b=4.668 c=4.915 alpha=90.00 beta=90.00 gamma=90.00
Atoms (fractional coordinates):
Cd 0.000 0.000 0.000
Pt 0.500 0.000 0.491
Pt 0.500 0.500 0.845
Rh 0.000 0.500 0.367

---

No. 8
A relaxed CdPtRh2 crystal, computed with PBE.

calculated total energy: -5.09 eV per atom
density: 12.12 g/cm³
crystal system: tetragonal
calculated formation energy: 0.33 eV per atom

Unit cell a=9.757 b=9.757 c=9.757 alpha=157.09 beta=157.09 gamma=32.62
Atoms (fractional coordinates):
Cd 0.000 0.000 0.000
Cd 0.750 0.250 0.500
Pt 0.250 0.750 0.500
Pt 0.500 0.500 0.000
Rh 0.161 0.625 0.036
Rh 0.375 0.411 0.536
Rh 0.589 0.125 0.964
Rh 0.875 0.839 0.464